(i)
First-principles (PBE) data for a relaxed AcY2O crystal, as listed in Alexandria.

Lattice parameters (Å, degrees): 3.5830 3.5830 29.2548 90.00 90.00 120.00
With the nearest neighbours (Å) after each atom.
Space group R-3m (No. 166, hexagonal axes)
Asymmetric unit:
Ac1 0.0000 0.0000 0.0000 x3  2 Y 3.58, 6 Ac 3.58
Y1 0.0000 0.0000 0.1225 x6  3 O 2.44
O1 0.0000 0.0000 0.5000 x3  6 Y 2.44

Properties
- Total magnetic moment: 0.000 μB per formula unit


(ii)
First-principles (PBE) data for a relaxed AcY2O crystal, as listed in Alexandria.

Lattice parameters (Å, degrees): 3.3235 3.3235 8.9668 90.00 90.00 90.00
With the nearest neighbours (Å) after each atom.
Space group P4/mmm (No. 123)
Asymmetric unit:
Ac1 0.0000 0.0000 0.0000 x1  4 Ac 3.32
Y1 0.5000 0.5000 0.3280 x2  4 O 2.81, 1 Y 3.08
O1 0.0000 0.0000 0.5000 x1  8 Y 2.81

Properties
- Total magnetic moment: 0.036 μB per formula unit


Most stable = (i)


(i)
First-principles (PBE) data for a relaxed Ac4Os crystal, as listed in Alexandria.

Lattice parameters (Å, degrees): 5.9426 5.9426 5.9426 90.00 90.00 90.00
With the nearest neighbours (Å) after each atom.
Space group Pm-3m (No. 221)
Asymmetric unit:
Ac1 0.0000 0.0000 0.0000 x1  12 Ac 4.20
Ac2 0.0000 0.5000 0.5000 x3  2 Os 2.97
Os1 0.5000 0.5000 0.5000 x1  6 Ac 2.97

Properties
- Total magnetic moment: 0.004 μB per formula unit


(ii)
First-principles (PBE) data for a relaxed Ac4Os crystal, as listed in Alexandria.

Lattice parameters (Å, degrees): 13.9506 14.5250 8.3315 90.00 90.00 90.00
With the nearest neighbours (Å) after each atom.
Space group Fdd2 (No. 43)
Asymmetric unit:
Ac1 0.1205 0.4212 0.0000 x16  1 Os 2.89
Ac2 0.1242 0.1664 0.2535 x16  2 Os 2.97-2.98
Os1 0.0000 0.0000 0.2536 x8  6 Ac 2.89-2.98

Properties
- Total magnetic moment: 0.000 μB per formula unit


Most stable = (ii)


(i)
First-principles (PBE) data for a relaxed AcPOs crystal, as listed in Alexandria.

Lattice parameters (Å, degrees): 8.5134 6.2064 6.1046 90.00 112.54 90.00
With the nearest neighbours (Å) after each atom.
Space group C2/m (No. 12)
Asymmetric unit:
Ac1 0.2494 0.0000 0.2441 x4  5 P 3.10-3.38, 5 Os 3.14-3.31
P1 0.0976 0.5000 0.1908 x4  1 Os 2.24, 1 P 2.29
Os1 0.1181 0.0000 0.6884 x4  1 P 2.24, 1 Os 2.41

Properties
- Total magnetic moment: 0.000 μB per formula unit


(ii)
First-principles (PBE) data for a relaxed AcPOs crystal, as listed in Alexandria.

Lattice parameters (Å, degrees): 4.0917 4.0917 4.6706 90.00 90.00 120.00
With the nearest neighbours (Å) after each atom.
Space group P3m1 (No. 156)
Asymmetric unit:
Ac1 0.0000 0.0000 0.0000 x1  6 Os 3.29-3.35, 6 P 3.32
P1 0.3333 0.6667 0.4995 x1  3 Os 2.36
Os1 0.6667 0.3333 0.5087 x1  3 P 2.36

Properties
- Total magnetic moment: 0.000 μB per formula unit


(iii)
First-principles (PBE) data for a relaxed AcPOs crystal, as listed in Alexandria.

Lattice parameters (Å, degrees): 3.2134 3.2134 11.7572 90.00 90.00 90.00
With the nearest neighbours (Å) after each atom.
Space group I4mm (No. 107)
Asymmetric unit:
Ac1 0.0000 0.0000 0.0000 x2  4 Ac 3.21, 5 Os 3.32-3.46, 5 P 3.32-3.46
P1 0.0000 0.0000 0.7059 x2  4 Os 2.50
Os1 0.0000 0.0000 0.2943 x2  4 P 2.50

Properties
- Total magnetic moment: 0.000 μB per formula unit


Most stable = (ii)


(i)
First-principles (PBE) data for a relaxed AcPa2Os crystal, as listed in Alexandria.

Lattice parameters (Å, degrees): 3.6341 3.6341 8.0732 90.00 90.00 90.00
With the nearest neighbours (Å) after each atom.
Space group P4/mmm (No. 123)
Asymmetric unit:
Ac1 0.0000 0.0000 0.0000 x1  4 Ac 3.63, 8 Pa 3.65, 2 Os 4.04
Pa1 0.5000 0.5000 0.3212 x2  1 Pa 2.89, 4 Os 2.95
Os1 0.0000 0.0000 0.5000 x1  8 Pa 2.95

Properties
- Total magnetic moment: 0.000 μB per formula unit


(ii)
First-principles (PBE) data for a relaxed AcPa2Os crystal, as listed in Alexandria.

Lattice parameters (Å, degrees): 3.8085 3.8085 30.4470 90.00 90.00 120.00
With the nearest neighbours (Å) after each atom.
Space group R-3m (No. 166, hexagonal axes)
Asymmetric unit:
Ac1 0.0000 0.0000 0.0000 x3  2 Pa 3.45, 6 Ac 3.81
Pa1 0.0000 0.0000 0.1132 x6  3 Os 2.74
Os1 0.0000 0.0000 0.5000 x3  6 Pa 2.74

Properties
- Total magnetic moment: 0.000 μB per formula unit


Most stable = (i)


(i)
First-principles (PBE) data for a relaxed Ac5OsPb2 crystal, as listed in Alexandria.

Lattice parameters (Å, degrees): 6.3788 11.6256 16.7831 90.00 90.00 90.00
With the nearest neighbours (Å) after each atom.
Space group Cmcm (No. 63)
Asymmetric unit:
Ac1 0.0000 0.0873 0.1209 x8  1 Os 2.87
Ac2 0.0000 0.2506 0.7500 x4  2 Os 3.19, 2 Pb 3.37
Ac3 0.0000 0.4119 0.1212 x8  1 Os 2.87
Os1 0.0000 0.2493 0.2500 x4  6 Ac 2.87-3.19
Pb1 0.0000 0.2501 0.5490 x8  3 Ac 3.37-3.42, 2 Pb 3.59

Properties
- Total magnetic moment: 0.000 μB per formula unit


(ii)
First-principles (PBE) data for a relaxed Ac5OsPb2 crystal, as listed in Alexandria.

Lattice parameters (Å, degrees): 9.0628 13.3388 4.8935 90.00 90.00 90.00
With the nearest neighbours (Å) after each atom.
Space group Pbam (No. 55)
Asymmetric unit:
Ac1 0.0000 0.0000 0.0000 x2  4 Pb 3.44
Ac2 0.1336 0.3022 0.0000 x4  1 Os 2.90
Ac3 0.1810 0.5668 0.5000 x4  2 Os 3.08
Os1 0.0000 0.5000 0.0000 x2  6 Ac 2.90-3.08
Pb1 0.0807 0.8274 0.5000 x4  7 Ac 3.44-3.59

Properties
- Total magnetic moment: 0.000 μB per formula unit


Most stable = (ii)


(i)
First-principles (PBE) data for a relaxed Ac2PmOs crystal, as listed in Alexandria.

Lattice parameters (Å, degrees): 4.4060 12.4868 5.6182 90.00 90.00 90.00
With the nearest neighbours (Å) after each atom.
Space group Imm2 (No. 44)
Asymmetric unit:
Ac1 0.0000 0.1576 0.0000 x4  2 Os 2.95
Pm1 0.0000 0.5000 0.9969 x2  2 Os 2.80-2.82
Os1 0.0000 0.5000 0.4953 x2  2 Pm 2.80-2.82, 4 Ac 2.95

Properties
- Total magnetic moment: 0.000 μB per formula unit


(ii)
First-principles (PBE) data for a relaxed Ac2PmOs crystal, as listed in Alexandria.

Lattice parameters (Å, degrees): 3.5962 3.5962 35.5964 90.00 90.00 120.00
With the nearest neighbours (Å) after each atom.
Space group R-3m (No. 166, hexagonal axes)
Asymmetric unit:
Ac1 0.0000 0.0000 0.0755 x6  1 Os 2.69
Pm1 0.0000 0.0000 0.5000 x3  6 Pm 3.60, 6 Ac 3.85
Os1 0.0000 0.0000 0.0000 x3  2 Ac 2.69

Properties
- Total magnetic moment: 0.000 μB per formula unit


Most stable = (i)


(i)
First-principles (PBE) data for a relaxed AcPmOs crystal, as listed in Alexandria.

Lattice parameters (Å, degrees): 3.5913 3.5913 14.2370 90.00 90.00 90.00
With the nearest neighbours (Å) after each atom.
Space group I4mm (No. 107)
Asymmetric unit:
Ac1 0.0000 0.0000 0.0000 x2  4 Os 3.15, 1 Pm 3.48
Pm1 0.0000 0.0000 0.2441 x2  4 Os 3.01
Os1 0.0000 0.0000 0.6307 x2  4 Pm 3.01, 4 Ac 3.15

Properties
- Total magnetic moment: 0.000 μB per formula unit


(ii)
First-principles (PBE) data for a relaxed AcPmOs crystal, as listed in Alexandria.

Lattice parameters (Å, degrees): 7.1291 7.1291 7.1291 90.00 90.00 90.00
With the nearest neighbours (Å) after each atom.
Space group F-43m (No. 216)
Asymmetric unit:
Ac1 0.0000 0.0000 0.0000 x4  4 Os 3.09
Pm1 0.0000 0.0000 0.5000 x4  4 Os 3.09
Os1 0.2500 0.2500 0.2500 x4  4 Pm 3.09, 4 Ac 3.09

Properties
- Total magnetic moment: 0.000 μB per formula unit


Most stable = (ii)


(i)
First-principles (PBE) data for a relaxed AcPr3Os crystal, as listed in Alexandria.

Lattice parameters (Å, degrees): 10.2535 10.1638 7.0048 90.00 112.00 90.00
With the nearest neighbours (Å) after each atom.
Space group C2/m (No. 12)
Asymmetric unit:
Ac1 0.0728 0.0000 0.2771 x4  2 Os 3.14-3.18
Pr1 0.0630 0.5000 0.2612 x4  2 Os 3.04-3.05, 1 Pr 3.39
Pr2 0.1856 0.2513 0.7412 x8  2 Os 3.02-3.07, 1 Pr 3.36
Os1 0.2504 0.0000 0.9895 x4  6 Pr 3.02-3.07, 2 Ac 3.14-3.18

Properties
- Total magnetic moment: 0.000 μB per formula unit


(ii)
First-principles (PBE) data for a relaxed AcPr3Os crystal, as listed in Alexandria.

Lattice parameters (Å, degrees): 5.7144 5.7144 5.7144 90.00 90.00 90.00
With the nearest neighbours (Å) after each atom.
Space group Pm-3m (No. 221)
Asymmetric unit:
Ac1 0.0000 0.0000 0.0000 x1  12 Pr 4.04
Pr1 0.0000 0.5000 0.5000 x3  2 Os 2.86
Os1 0.5000 0.5000 0.5000 x1  6 Pr 2.86

Properties
- Total magnetic moment: 0.295 μB per formula unit


Most stable = (i)